VASP calculation (PBE-GGA) on a geometry-optimized In3BiPb2 structure.

Geometry as POSCAR:
```
In3BiPb2
1.0
5.976 0.000 -0.068
2.988 5.266 -0.034
2.442 0.000 11.351
In Bi Pb
6 2 4
Cartesian
6.313 3.506 8.495
2.115 0.000 2.772
5.093 1.760 2.755
8.081 3.506 2.721
3.325 1.760 8.529
6.303 0.000 8.511
5.976 3.503 -0.068
2.988 1.763 -0.034
0.000 0.000 0.000
4.209 0.000 5.642
4.209 3.508 5.642
7.197 1.758 5.608
```

Summary:
- total magnetic moment (μB/f.u.) = 0.00
- DOS at the Fermi energy (states/eV/cell) = 5.04
- DFT formation energy (eV/atom) = 0.026

=====

VASP calculation (PBE-GGA) on a geometry-optimized In2BiPb structure.

Geometry as POSCAR:
```
In2BiPb
1.0
0.000 3.899 3.899
3.899 0.000 3.899
3.899 3.899 0.000
Pb Bi In
1 1 2
Cartesian
0.000 0.000 0.000
3.899 3.899 3.899
1.950 1.950 1.950
5.849 5.849 5.849
```

Summary:
- total magnetic moment (μB/f.u.) = 0.00
- DOS at the Fermi energy (states/eV/cell) = 2.33
- DFT formation energy (eV/atom) = 0.064

=====

VASP calculation (PBE-GGA) on a geometry-optimized In4BiPb structure.

Geometry as POSCAR:
```
In4BiPb
1.0
-2.292 0.476 2.500
0.040 -3.358 0.676
11.069 2.095 9.749
In Bi Pb
4 1 1
Cartesian
0.749 -1.086 3.240
7.419 1.404 6.534
3.651 0.691 3.215
8.068 0.299 9.686
4.409 -0.394 6.463
0.000 0.000 0.000
```

Summary:
- total magnetic moment (μB/f.u.) = 0.00
- DOS at the Fermi energy (states/eV/cell) = 1.70
- DFT formation energy (eV/atom) = 0.020

=====

VASP calculation (PBE-GGA) on a geometry-optimized In5BiPb2 structure.

Geometry as POSCAR:
```
In5BiPb2
1.0
-3.244 -0.151 3.560
4.672 -3.137 4.125
4.366 12.426 4.505
In Bi Pb
10 2 4
Cartesian
0.000 0.000 0.000
4.519 4.645 4.315
5.559 7.805 5.396
3.480 1.484 3.234
1.155 3.083 1.183
7.884 6.206 7.447
3.303 10.046 6.696
2.492 -0.907 5.493
1.242 3.751 4.551
4.553 5.388 7.638
2.183 6.213 2.252
2.336 -1.568 2.062
2.245 6.971 5.602
3.550 2.167 6.587
0.147 0.701 3.425
5.648 8.438 8.764
```

Summary:
- total magnetic moment (μB/f.u.) = 0.00
- DOS at the Fermi energy (states/eV/cell) = 7.99
- DFT formation energy (eV/atom) = 0.022

=====

VASP calculation (PBE-GGA) on a geometry-optimized In5BiPb8 structure.

Geometry as POSCAR:
```
In5BiPb8
1.0
7.875 0.000 -2.655
-3.954 6.741 -2.828
0.033 0.000 8.311
In Bi Pb
5 1 8
Cartesian
-0.957 2.038 -0.085
3.409 6.254 -3.344
3.564 4.703 1.950
3.954 0.000 2.828
1.892 0.487 7.134
0.017 3.370 4.155
-1.657 4.774 -1.759
7.027 0.467 2.608
4.858 1.820 0.045
3.614 2.789 4.822
1.777 3.952 -0.966
0.785 6.274 2.979
1.753 1.966 1.828
-2.341 4.921 1.755
```

Summary:
- total magnetic moment (μB/f.u.) = 0.00
- DOS at the Fermi energy (states/eV/cell) = 8.36
- DFT formation energy (eV/atom) = 0.079

=====

VASP calculation (PBE-GGA) on a geometry-optimized In5Bi3Pb structure.

Geometry as POSCAR:
```
In5Bi3Pb
1.0
-4.438 -1.140 1.253
0.473 -1.551 -8.741
4.097 -13.139 2.552
In Bi Pb
10 6 2
Cartesian
-1.237 -8.502 -3.114
-0.650 -0.856 -3.080
2.049 -6.570 1.276
0.000 0.000 0.000
-0.911 -3.303 -6.233
1.043 -12.528 1.297
-0.012 -9.144 0.640
0.782 -14.975 -1.856
1.369 -7.328 -1.823
0.144 -6.687 -5.576
2.126 -13.163 -4.451
-2.370 -5.283 -4.198
1.149 -10.032 -5.059
-1.018 -5.798 0.123
2.502 -10.548 -0.738
-1.994 -2.668 -0.485
-0.223 -11.732 -2.461
0.354 -4.098 -2.475
```

Summary:
- total magnetic moment (μB/f.u.) = 0.00
- DOS at the Fermi energy (states/eV/cell) = 8.58
- DFT formation energy (eV/atom) = 0.057

=====

VASP calculation (PBE-GGA) on a geometry-optimized In2BiPb structure.

Geometry as POSCAR:
```
In2BiPb
1.0
-1.877 0.335 -4.339
1.772 -6.782 -1.290
-7.178 1.310 3.207
In Bi Pb
4 2 2
Cartesian
-0.532 -2.687 -1.272
-6.752 -2.449 -1.150
-7.510 0.869 -0.567
0.226 -6.005 -1.856
-3.295 -1.219 -2.551
-3.988 -3.918 0.129
-4.563 -0.547 0.638
-2.721 -4.589 -3.060
```

Summary:
- total magnetic moment (μB/f.u.) = 0.00
- DOS at the Fermi energy (states/eV/cell) = 3.87
- DFT formation energy (eV/atom) = 0.025

=====

VASP calculation (PBE-GGA) on a geometry-optimized In3Bi2Pb7 structure.

Geometry as POSCAR:
```
In3Bi2Pb7
1.0
4.799 0.000 0.000
0.000 4.997 -0.591
0.000 -0.565 16.686
In Bi Pb
3 2 7
Cartesian
2.400 2.498 -0.295
0.000 0.607 5.019
0.000 3.825 11.076
2.400 3.089 4.711
2.400 1.342 11.383
2.400 0.848 7.133
2.400 3.583 8.961
0.000 2.797 2.263
0.000 0.000 0.000
0.000 1.634 13.832
2.400 4.141 13.588
2.400 0.291 2.507
```

Summary:
- total magnetic moment (μB/f.u.) = 0.00
- DOS at the Fermi energy (states/eV/cell) = 5.22
- DFT formation energy (eV/atom) = 0.068

=====

VASP calculation (PBE-GGA) on a geometry-optimized In14BiPb structure.

Geometry as POSCAR:
```
In14BiPb
1.0
6.691 -0.085 0.000
-2.701 6.122 0.000
0.000 0.000 10.973
In Bi Pb
14 1 1
Cartesian
-0.938 4.957 0.000
3.756 1.855 0.000
-0.760 2.645 5.487
0.400 1.892 0.000
1.259 5.699 5.487
2.406 4.927 0.000
2.185 0.748 8.300
2.185 0.748 2.673
4.158 3.734 8.300
4.158 3.734 2.673
0.776 3.824 8.246
0.776 3.824 2.728
5.525 0.685 8.261
5.525 0.685 2.712
2.593 2.623 5.487
-2.084 5.714 5.487
```

Summary:
- total magnetic moment (μB/f.u.) = 0.00
- DOS at the Fermi energy (states/eV/cell) = 5.46
- DFT formation energy (eV/atom) = 0.019

=====

VASP calculation (PBE-GGA) on a geometry-optimized In2BiPb2 structure.

Geometry as POSCAR:
```
In2BiPb2
1.0
-0.100 -4.223 -0.409
2.975 0.222 -3.018
7.695 -2.741 4.399
Pb Bi In
2 1 2
Cartesian
2.657 -2.145 -0.522
7.912 -4.597 1.494
0.000 0.000 0.000
4.516 -4.482 1.138
6.054 -2.260 -0.167
```

Summary:
- total magnetic moment (μB/f.u.) = 0.00
- DOS at the Fermi energy (states/eV/cell) = 3.07
- DFT formation energy (eV/atom) = 0.106

=====

VASP calculation (PBE-GGA) on a geometry-optimized In2Bi5Pb12 structure.

Geometry as POSCAR:
```
In2Bi5Pb12
1.0
-4.429 6.491 5.527
-3.717 -7.823 -2.141
3.438 -3.547 6.922
In Bi Pb
2 5 12
Cartesian
-3.073 4.504 3.835
-1.356 1.988 1.693
-0.760 -4.053 4.151
-3.575 -2.933 0.580
1.719 -1.774 3.461
-1.133 -1.946 9.728
-3.948 -0.826 6.157
-6.599 -0.763 3.959
-0.071 -7.872 3.889
-2.882 -3.753 7.397
-2.451 -5.992 1.656
-4.264 -3.336 3.918
-2.841 -6.348 5.179
-1.867 1.469 5.129
-2.257 1.113 8.651
-0.444 -1.543 6.390
-4.637 2.993 6.418
-1.826 -1.126 2.911
1.891 -4.115 6.349
```

Summary:
- total magnetic moment (μB/f.u.) = 0.00
- DOS at the Fermi energy (states/eV/cell) = 9.39
- DFT formation energy (eV/atom) = 0.053

=====

VASP calculation (PBE-GGA) on a geometry-optimized In5Bi6Pb structure.

Geometry as POSCAR:
```
In5Bi6Pb
1.0
-2.008 1.869 4.040
-1.157 -9.631 3.895
5.568 1.322 4.924
Pb Bi In
1 6 5
Cartesian
0.000 0.000 0.000
-0.662 -5.218 7.923
-0.085 -0.423 5.984
-1.291 -1.463 2.990
3.695 -4.976 9.869
2.489 -6.016 6.874
3.066 -1.222 4.936
1.820 -2.685 7.935
1.243 1.065 3.009
-0.578 -4.816 1.947
1.161 -7.505 9.850
0.584 -3.754 4.924
```

Summary:
- total magnetic moment (μB/f.u.) = 0.00
- DOS at the Fermi energy (states/eV/cell) = 4.72
- DFT formation energy (eV/atom) = 0.036